(1)
A plane-wave DFT calculation with PBE was carried out for a geometry-optimized SrBeFe3 structure.

Results
Crystal system: cubic
DFT total energy, eV/atom: -5.49
Size of the total moment, μB/f.u.: 6.0

The structure in CIF format:
```
data_SrBeFe3
_chemical_formula_sum 'Sr1 Be1 Fe3'
_space_group_name_H-M_alt 'P m -3 m'
_space_group_IT_number 221
_space_group_name_Hall '-P 4 2 3'
_cell_length_a 4.278
_cell_length_b 4.278
_cell_length_c 4.278
_cell_angle_alpha 90.00
_cell_angle_beta 90.00
_cell_angle_gamma 90.00
loop_
_atom_site_label
_atom_site_type_symbol
_atom_site_fract_x
_atom_site_fract_y
_atom_site_fract_z
Sr1 Sr 0.000 0.000 0.000
Be1 Be 0.500 0.500 0.500
Fe1 Fe 0.000 0.500 0.500
```

---

(2)
A plane-wave DFT calculation with PBE was carried out for a geometry-optimized SrBeFe2 structure.

Results
Crystal system: cubic
DFT total energy, eV/atom: -4.73
Size of the total moment, μB/f.u.: 5.1

The structure in CIF format:
```
data_SrBeFe2
_chemical_formula_sum 'Sr4 Be4 Fe8'
_space_group_name_H-M_alt 'F -4 3 m'
_space_group_IT_number 216
_space_group_name_Hall 'F -4 2 3'
_cell_length_a 6.481
_cell_length_b 6.481
_cell_length_c 6.481
_cell_angle_alpha 90.00
_cell_angle_beta 90.00
_cell_angle_gamma 90.00
loop_
_atom_site_label
_atom_site_type_symbol
_atom_site_fract_x
_atom_site_fract_y
_atom_site_fract_z
Sr1 Sr 0.000 0.000 0.000
Be1 Be 0.250 0.250 0.750
Fe1 Fe 0.000 0.000 0.500
Fe2 Fe 0.250 0.250 0.250
```

---

(3)
A plane-wave DFT calculation with PBE was carried out for a geometry-optimized SrBe2Fe structure.

Results
Crystal system: monoclinic
DFT total energy, eV/atom: -4.19
Size of the total moment, μB/f.u.: 0.0

The structure in CIF format:
```
data_SrBe2Fe
_chemical_formula_sum 'Sr2 Be4 Fe2'
_space_group_name_H-M_alt 'C 1 m 1'
_space_group_IT_number 8
_space_group_name_Hall 'C -2y'
_cell_length_a 6.555
_cell_length_b 3.786
_cell_length_c 5.820
_cell_angle_alpha 90.00
_cell_angle_beta 112.13
_cell_angle_gamma 90.00
loop_
_atom_site_label
_atom_site_type_symbol
_atom_site_fract_x
_atom_site_fract_y
_atom_site_fract_z
Sr1 Sr 0.000 0.000 0.000
Be1 Be 0.006 0.500 0.519
Be2 Be 0.183 0.000 0.547
Fe1 Fe 0.313 0.500 0.437
```

---

(4)
A plane-wave DFT calculation with PBE was carried out for a geometry-optimized SrBe2Fe structure.

Results
Crystal system: tetragonal
DFT total energy, eV/atom: -3.35
Size of the total moment, μB/f.u.: 2.4

The structure in CIF format:
```
data_SrBe2Fe
_chemical_formula_sum 'Sr1 Be2 Fe1'
_space_group_name_H-M_alt 'P 4/m m m'
_space_group_IT_number 123
_space_group_name_Hall '-P 4 2'
_cell_length_a 4.314
_cell_length_b 4.314
_cell_length_c 3.884
_cell_angle_alpha 90.00
_cell_angle_beta 90.00
_cell_angle_gamma 90.00
loop_
_atom_site_label
_atom_site_type_symbol
_atom_site_fract_x
_atom_site_fract_y
_atom_site_fract_z
Sr1 Sr 0.000 0.000 0.000
Be1 Be 0.000 0.500 0.500
Fe1 Fe 0.500 0.500 0.000
```

---

- What is the formula in the second record?
  SrBeFe2

---

- Number 2 is which compound?
  SrBeFe2

---

- The lowest size of the total moment belongs to which entry?
  number 3